DFT (PBEsol) results for crystalline Hg3C at its relaxed geometry.

```
data_Hg3C
_chemical_formula_sum 'Hg12 C4'
_symmetry_space_group_name_H-M 'F m -3 m'
_symmetry_Int_Tables_number 225
_symmetry_space_group_name_Hall '-F 4 2 3'
_cell_length_a 6.643
_cell_length_b 6.643
_cell_length_c 6.643
_cell_angle_alpha 90.00
_cell_angle_beta 90.00
_cell_angle_gamma 90.00
loop_
_atom_site_label
_atom_site_type_symbol
_atom_site_fract_x
_atom_site_fract_y
_atom_site_fract_z
Hg1 Hg 0.000 0.000 0.000
Hg2 Hg 0.250 0.250 0.250
C1 C 0.000 0.000 0.500
```


DFT (PBEsol) results for crystalline HgC at its relaxed geometry.

```
data_HgC
_chemical_formula_sum 'Hg2 C2'
_symmetry_space_group_name_H-M 'C m m m'
_symmetry_Int_Tables_number 65
_symmetry_space_group_name_Hall '-C 2 2'
_cell_length_a 3.310
_cell_length_b 5.686
_cell_length_c 3.257
_cell_angle_alpha 90.00
_cell_angle_beta 90.00
_cell_angle_gamma 90.00
loop_
_atom_site_label
_atom_site_type_symbol
_atom_site_fract_x
_atom_site_fract_y
_atom_site_fract_z
Hg1 Hg 0.000 0.000 0.000
C1 C 0.000 0.500 0.500
```


DFT (PBEsol) results for crystalline Hg3C at its relaxed geometry.

```
data_Hg3C
_chemical_formula_sum 'Hg3 C1'
_symmetry_space_group_name_H-M 'P m -3 m'
_symmetry_Int_Tables_number 221
_symmetry_space_group_name_Hall '-P 4 2 3'
_cell_length_a 4.718
_cell_length_b 4.718
_cell_length_c 4.718
_cell_angle_alpha 90.00
_cell_angle_beta 90.00
_cell_angle_gamma 90.00
loop_
_atom_site_label
_atom_site_type_symbol
_atom_site_fract_x
_atom_site_fract_y
_atom_site_fract_z
Hg1 Hg 0.000 0.000 0.500
C1 C 0.000 0.000 0.000
```


DFT (PBEsol) results for crystalline HgC at its relaxed geometry.

```
data_HgC
_chemical_formula_sum 'Hg3 C3'
_symmetry_space_group_name_H-M 'P -6 2 m'
_symmetry_Int_Tables_number 189
_symmetry_space_group_name_Hall 'P -6 -2'
_cell_length_a 5.6988
_cell_length_b 5.6988
_cell_length_c 3.2442
_cell_angle_alpha 90.00
_cell_angle_beta 90.00
_cell_angle_gamma 120.00
loop_
_atom_site_label
_atom_site_type_symbol
_atom_site_fract_x
_atom_site_fract_y
_atom_site_fract_z
Hg1 Hg 0.0000 0.0000 0.0000
Hg2 Hg 0.3333 0.6667 0.5000
C1 C 0.0000 0.3850 0.0000
```


DFT (PBEsol) results for crystalline Hg3C5 at its relaxed geometry.

```
data_Hg3C5
_chemical_formula_sum 'Hg3 C5'
_symmetry_space_group_name_H-M 'P 4/m m m'
_symmetry_Int_Tables_number 123
_symmetry_space_group_name_Hall '-P 4 2'
_cell_length_a 2.661
_cell_length_b 2.661
_cell_length_c 13.370
_cell_angle_alpha 90.00
_cell_angle_beta 90.00
_cell_angle_gamma 90.00
loop_
_atom_site_label
_atom_site_type_symbol
_atom_site_fract_x
_atom_site_fract_y
_atom_site_fract_z
Hg1 Hg 0.000 0.000 0.000
Hg2 Hg 0.500 0.500 0.363
C1 C 0.000 0.000 0.167
C2 C 0.000 0.000 0.500
C3 C 0.500 0.500 0.193
```


DFT (PBEsol) results for crystalline HgC at its relaxed geometry.

```
data_HgC
_chemical_formula_sum 'Hg2 C2'
_symmetry_space_group_name_H-M 'P 63 m c'
_symmetry_Int_Tables_number 186
_symmetry_space_group_name_Hall 'P 6c -2c'
_cell_length_a 3.6541
_cell_length_b 3.6541
_cell_length_c 5.7995
_cell_angle_alpha 90.00
_cell_angle_beta 90.00
_cell_angle_gamma 120.00
loop_
_atom_site_label
_atom_site_type_symbol
_atom_site_fract_x
_atom_site_fract_y
_atom_site_fract_z
Hg1 Hg 0.3333 0.6667 0.0000
C1 C 0.3333 0.6667 0.3871
```


Total DFT energy (no corrections) / eV/atom: -1.37; -2.66; -1.67; -2.84; -3.88; -2.88